AlMoSe2 after structural relaxation, computed with GGA-PBEsol.

```
4
Lattice="3.226 0.000 0.000 -1.613 4.113 -0.015 0.000 -0.592 5.187" Properties=species:S:1:pos:R:3 pbc="T T T"
Se 0.000 1.682 1.165
Se 1.613 1.839 4.007
Mo 1.613 0.000 0.000
Al 0.000 -0.296 2.593
```

Calculated values
Formation energy (no corrections): -0.06 eV per atom
Calculated density: 6.78 Mg/m³


AlMoSe after structural relaxation, computed with GGA-PBEsol.

```
3
Lattice="-0.506 -0.671 4.202 -3.552 -1.906 1.453 0.195 -3.981 1.573" Properties=species:S:1:pos:R:3 pbc="T T T"
Mo -0.966 -1.639 1.807
Se 0.000 0.000 0.000
Al -1.931 -3.279 3.614
```

Calculated values
Formation energy (no corrections): 0.49 eV per atom
Calculated density: 6.03 Mg/m³


AlMoSe2 after structural relaxation, computed with GGA-PBEsol.

```
4
Lattice="-2.184 -0.464 -3.979 0.431 -3.855 -2.403 -3.524 -2.878 -0.346" Properties=species:S:1:pos:R:3 pbc="T T T"
Al -2.639 -3.599 -3.364
Se -3.958 -5.398 -5.046
Se 0.000 0.000 0.000
Mo -1.319 -1.799 -1.682
```

Calculated values
Formation energy (no corrections): 0.52 eV per atom
Calculated density: 6.94 Mg/m³


AlMoSe4 after structural relaxation, computed with GGA-PBEsol.

```
6
Lattice="-4.758 2.876 -0.229 -4.857 -2.685 -0.410 -3.509 -0.078 4.318" Properties=species:S:1:pos:R:3 pbc="T T T"
Se -7.354 -1.308 1.170
Se -7.305 1.489 1.261
Se -6.677 0.003 3.548
Se -4.912 0.042 1.377
Al -9.843 0.084 2.759
Mo 0.000 0.000 0.000
```

Calculated values
Formation energy (no corrections): 0.96 eV per atom
Calculated density: 5.98 Mg/m³


Al2SiMo after structural relaxation, computed with GGA-PBEsol.

```
4
Lattice="-0.554 -2.650 0.390 0.138 0.108 -2.730 7.949 -1.611 0.338" Properties=species:S:1:pos:R:3 pbc="T T T"
Mo 3.766 -2.077 -1.001
Al 1.995 -0.404 0.085
Al 5.954 -1.207 0.253
Si -0.208 -1.271 -1.170
```

Calculated values
Formation energy (no corrections): 0.02 eV per atom
Calculated density: 4.96 Mg/m³


AlSi2Mo after structural relaxation, computed with GGA-PBEsol.

```
4
Lattice="-0.952 1.792 -2.113 -2.510 -0.590 -1.391 -5.143 4.640 4.213" Properties=species:S:1:pos:R:3 pbc="T T T"
Si -6.503 4.434 0.599
Si -0.002 0.002 0.001
Al -4.303 2.922 0.357
Mo -2.100 1.406 0.109
```

Calculated values
Formation energy (no corrections): 0.07 eV per atom
Calculated density: 5.04 Mg/m³


AlSiMo2 after structural relaxation, computed with GGA-PBEsol.

```
4
Lattice="3.178 0.000 0.000 0.000 3.178 0.000 0.000 0.000 5.663" Properties=species:S:1:pos:R:3 pbc="T T T"
Mo 0.000 0.000 5.646
Mo 1.589 1.589 1.478
Si 0.000 0.000 2.811
Al 1.589 1.589 4.224
```

Calculated values
Formation energy (no corrections): -0.33 eV per atom
ΔE to the lowest computed polymorph: 0 meV/atom
Calculated density: 7.17 Mg/m³


AlSiMo2 after structural relaxation, computed with GGA-PBEsol.

```
8
Lattice="-0.986 -5.122 1.128 0.714 -3.787 -3.947 4.096 -3.139 1.949" Properties=species:S:1:pos:R:3 pbc="T T T"
Mo 2.081 -2.258 1.032
Mo 1.990 -8.510 -2.184
Mo -0.415 -6.358 -0.828
Mo 3.992 -6.971 0.240
Si 0.000 0.000 0.000
Si 1.665 -7.305 -0.153
Al 2.158 -4.744 -0.717
Al -0.493 -2.561 0.564
```

Calculated values
Formation energy (no corrections): 0.33 eV per atom
ΔE to the lowest computed polymorph: 653 meV/atom
Calculated density: 6.59 Mg/m³